First-principles (PBE+U) data for crystalline KCrSbF6 at its relaxed geometry, as listed in Alexandria via LeMat-Bulk.

The structure in extended XYZ format:
```
9
Lattice="4.725 0.000 0.000 -0.019 5.808 0.000 -0.013 -2.801 5.491" Properties=species:S:1:pos:R:3 pbc="T T T"
K 0.000 0.000 0.000
Cr 2.795 0.044 3.715
Sb 2.418 2.969 1.866
F 1.800 0.976 1.726
F 1.829 0.970 5.231
F 1.992 -1.706 4.146
F 3.649 1.901 3.254
F 3.804 -1.075 2.313
F 3.943 2.509 0.657
```

## Properties
density of states at the Fermi level = 0.000 states/eV per atom
space-group type = P1, No. 1
magnetization = 0.44 μB/atom
calculated total energy = -5.198 eV/atom